1.
The following is a PBE-GGA calculation of an optimized crystal structure of LaMnBe, from Alexandria via LeMat-Bulk.

Geometry as extended XYZ:
```
3
Lattice="-3.709 -3.221 2.481 -0.870 -4.650 2.814 0.026 0.773 3.101" Properties=species:S:1:pos:R:3 pbc="T T T"
Be -0.245 0.265 3.230
La -1.529 -2.145 3.841
Mn -2.754 -4.445 4.425
```

* density: 6.57 g/cm³
* E_form: 0.315 eV/atom
* uncorrected energy: -5.626 eV/atom


2.
The following is a PBE-GGA calculation of an optimized crystal structure of La2MnBe, from Alexandria via LeMat-Bulk.

Geometry as extended XYZ:
```
4
Lattice="5.538 0.001 0.000 1.922 5.194 0.000 -3.730 -2.597 3.164" Properties=species:S:1:pos:R:3 pbc="T T T"
La 0.961 2.597 1.582
La 0.000 0.000 0.000
Be 2.769 0.000 1.582
Mn 3.730 2.597 0.000
```

* density: 6.23 g/cm³
* E_form: 0.388 eV/atom
* uncorrected energy: -5.300 eV/atom


3.
The following is a PBE-GGA calculation of an optimized crystal structure of LaMnBe, from Alexandria via LeMat-Bulk.

Geometry as extended XYZ:
```
3
Lattice="-3.193 2.587 -0.330 -0.563 -3.784 1.537 0.772 1.442 3.833" Properties=species:S:1:pos:R:3 pbc="T T T"
Mn -0.797 -0.459 4.109
Be 0.643 1.202 3.194
La -2.059 0.944 1.570
```

* density: 5.49 g/cm³
* E_form: 0.218 eV/atom
* uncorrected energy: -5.724 eV/atom


For each record above, in turn, the calculated offset from the most stable computed form values are 0.098; 0.184; 0.000 eV/atom.